Entry 1:
## CaHo4Ga4 (PBE)

Data for crystalline CaHo4Ga4 at its relaxed geometry.

abc: 9.2318 9.2318 5.8910
angles: 90.00 90.00 90.00
Last column: nearest neighbours and their distance in Å.
Element x y z (fractional)
Ca  0.2500  0.2500  0.2500  4 Ga 2.99
Ca  0.7500  0.7500  0.7500  4 Ga 2.99
Ho  0.0821  0.6543  0.1295  5 Ga 2.92-3.09
Ho  0.1543  0.9179  0.6295  5 Ga 2.92-3.09
Ho  0.3457  0.5821  0.6295  5 Ga 2.92-3.09
Ho  0.4179  0.8457  0.1295  5 Ga 2.92-3.09
Ho  0.5821  0.1543  0.8705  5 Ga 2.92-3.09
Ho  0.6543  0.4179  0.3705  5 Ga 2.92-3.09
Ho  0.8457  0.0821  0.3705  5 Ga 2.92-3.09
Ho  0.9179  0.3457  0.8705  5 Ga 2.92-3.09
Ga  0.0302  0.6069  0.6296  1 Ga 2.56
Ga  0.1069  0.9698  0.1296  1 Ga 2.56
Ga  0.3931  0.5302  0.1296  1 Ga 2.56
Ga  0.4698  0.8931  0.6296  1 Ga 2.56
Ga  0.5302  0.1069  0.3704  1 Ga 2.56
Ga  0.6069  0.4698  0.8704  1 Ga 2.56
Ga  0.8931  0.0302  0.8704  1 Ga 2.56
Ga  0.9698  0.3931  0.3704  1 Ga 2.56

- mass density (g cm⁻³) = 6.47
- space-group type = No. 86
- energy of formation (eV per atom) = -0.351

---

Entry 2:
## Ba2TaIn (PBE)

Data for crystalline Ba2TaIn at its relaxed geometry.

abc: 3.9051 3.9051 9.6919
angles: 90.00 90.00 90.00
Last column: nearest neighbours and their distance in Å.
Element x y z (fractional)
Ba  0.0000  0.0000  0.0000  1 In 3.38, 4 Ta 3.71
Ba  0.5000  0.5000  0.4007  1 Ta 3.33, 4 In 3.68
Ta  0.5000  0.5000  0.7444  4 In 2.91
In  0.0000  0.0000  0.6512  4 Ta 2.91

- mass density (g cm⁻³) = 6.41
- space-group type = No. 99
- energy of formation (eV per atom) = 0.450
- excess energy over the best structure of this formula in the dataset (eV per atom) = 0.000

---

Entry 3:
## PmEuNiRh (PBE)

Data for crystalline PmEuNiRh at its relaxed geometry.

abc: 7.0023 7.0023 7.0023
angles: 90.00 90.00 90.00
Last column: nearest neighbours and their distance in Å.
Element x y z (fractional)
Pm  0.0000  0.0000  0.0000  4 Ni 3.03, 4 Rh 3.03
Pm  0.0000  0.5000  0.5000  4 Ni 3.03, 4 Rh 3.03
Pm  0.5000  0.0000  0.5000  4 Ni 3.03, 4 Rh 3.03
Pm  0.5000  0.5000  0.0000  4 Ni 3.03, 4 Rh 3.03
Eu  0.0000  0.0000  0.5000  4 Rh 3.03, 4 Ni 3.03
Eu  0.0000  0.5000  0.0000  4 Rh 3.03, 4 Ni 3.03
Eu  0.5000  0.0000  0.0000  4 Rh 3.03, 4 Ni 3.03
Eu  0.5000  0.5000  0.5000  4 Rh 3.03, 4 Ni 3.03
Ni  0.2500  0.2500  0.7500  4 Pm 3.03, 4 Eu 3.03
Ni  0.2500  0.7500  0.2500  4 Pm 3.03, 4 Eu 3.03
Ni  0.7500  0.2500  0.2500  4 Pm 3.03, 4 Eu 3.03
Ni  0.7500  0.7500  0.7500  4 Pm 3.03, 4 Eu 3.03
Rh  0.2500  0.2500  0.2500  4 Pm 3.03, 4 Eu 3.03
Rh  0.2500  0.7500  0.7500  4 Pm 3.03, 4 Eu 3.03
Rh  0.7500  0.2500  0.7500  4 Pm 3.03, 4 Eu 3.03
Rh  0.7500  0.7500  0.2500  4 Pm 3.03, 4 Eu 3.03

- mass density (g cm⁻³) = 8.87
- space-group type = No. 216
- energy of formation (eV per atom) = -0.333

---

Entry 4:
## SbTeS (PBE)

Data for crystalline SbTeS at its relaxed geometry.

abc: 3.9352 3.9352 6.6668
angles: 90.00 90.00 120.00
Last column: nearest neighbours and their distance in Å.
Element x y z (fractional)
Sb  0.0000  0.0000  0.0000  3 S 2.73, 3 Te 2.96
Te  0.6667  0.3333  0.2848  3 Sb 2.96
S  0.3333  0.6667  0.7727  3 Sb 2.73

- mass density (g cm⁻³) = 5.23
- uncorrected formation energy (eV per atom) = -0.007
- space-group type = No. 156
- excess energy over the best structure of this formula in the dataset (eV per atom) = 0.000

---

Entry 5:
## Al2CrCd (PBE)

Data for crystalline Al2CrCd at its relaxed geometry.

abc: 3.9543 3.9543 8.4385
angles: 90.00 90.00 90.00
Last column: nearest neighbours and their distance in Å.
Element x y z (fractional)
Al  0.0000  0.0000  0.0000  4 Cd 2.80, 4 Cr 2.89, 4 Al 2.89
Al  0.0000  0.5000  0.2500  4 Cr 2.80, 4 Cd 2.89, 4 Al 2.89
Al  0.5000  0.0000  0.7500  4 Cr 2.80, 4 Cd 2.89, 4 Al 2.89
Al  0.5000  0.5000  0.5000  4 Cd 2.80, 4 Cr 2.89, 4 Al 2.89
Cr  0.0000  0.5000  0.7500  8 Al 2.80-2.89, 4 Cd 2.89
Cr  0.5000  0.0000  0.2500  8 Al 2.80-2.89, 4 Cd 2.89
Cd  0.0000  0.0000  0.5000  8 Al 2.80-2.89, 4 Cr 2.89
Cd  0.5000  0.5000  0.0000  8 Al 2.80-2.89, 4 Cr 2.89

- mass density (g cm⁻³) = 5.50
- space-group type = No. 119
- energy of formation (eV per atom) = 0.119

---

Entry 6:
## CaTlBr2 (PBE)

Data for crystalline CaTlBr2 at its relaxed geometry.

abc: 4.4800 4.4800 12.2974
angles: 90.00 90.00 90.00
Last column: nearest neighbours and their distance in Å.
Element x y z (fractional)
Ca  0.0000  0.0000  0.0000  4 Br 3.17
Ca  0.5000  0.5000  0.5000  4 Br 3.17
Tl  0.0000  0.5000  0.7500  4 Br 3.17
Tl  0.5000  0.0000  0.2500  4 Br 3.17
Br  0.0000  0.0000  0.5000  4 Ca 3.17
Br  0.0000  0.5000  0.2500  4 Tl 3.17
Br  0.5000  0.0000  0.7500  4 Tl 3.17
Br  0.5000  0.5000  0.0000  4 Ca 3.17

- mass density (g cm⁻³) = 5.44
- uncorrected formation energy (eV per atom) = -0.972
- space-group type = No. 119
- excess energy over the best structure of this formula in the dataset (eV per atom) = 0.367

---

Entry 7:
## ZrFe2Br (PBE)

Data for crystalline ZrFe2Br at its relaxed geometry.

abc: 3.1575 3.1575 7.7331
angles: 90.00 90.00 90.00
Last column: nearest neighbours and their distance in Å.
Element x y z (fractional)
Zr  0.0000  0.0000  0.0000  5 Fe 2.81-2.82, 4 Br 2.95
Fe  0.0000  0.0000  0.6355  4 Fe 2.49
Fe  0.5000  0.5000  0.7790  4 Fe 2.49
Br  0.5000  0.5000  0.2484  4 Zr 2.95, 4 Br 3.16

- mass density (g cm⁻³) = 6.09
- uncorrected formation energy (eV per atom) = 0.038
- space-group type = No. 99
- excess energy over the best structure of this formula in the dataset (eV per atom) = 0.029

---

Entry 8:
## TlSbPb2 (PBE)

Data for crystalline TlSbPb2 at its relaxed geometry.

abc: 5.1422 5.1422 4.6623
angles: 90.00 90.00 90.00
Last column: nearest neighbours and their distance in Å.
Element x y z (fractional)
Tl  0.0000  0.0000  0.0000  8 Pb 3.47, 4 Sb 3.64
Sb  0.5000  0.5000  0.0000  8 Pb 3.47, 4 Tl 3.64
Pb  0.0000  0.5000  0.5000  4 Tl 3.47, 4 Sb 3.47, 4 Pb 3.64
Pb  0.5000  0.0000  0.5000  4 Tl 3.47, 4 Sb 3.47, 4 Pb 3.64

- mass density (g cm⁻³) = 9.97
- uncorrected formation energy (eV per atom) = 0.015
- space-group type = No. 123
- excess energy over the best structure of this formula in the dataset (eV per atom) = 0.002

---

Entry 9:
## TaTlTeI2 (PBE)

Data for crystalline TaTlTeI2 at its relaxed geometry.

abc: 5.8264 5.8264 5.4080
angles: 90.00 90.00 90.00
Last column: nearest neighbours and their distance in Å.
Element x y z (fractional)
Ta  0.0000  0.0000  0.0000  2 Te 2.70, 4 I 2.91
Tl  0.5000  0.5000  0.5000  8 I 3.97, 4 Te 4.12
Te  0.0000  0.0000  0.5000  2 Ta 2.70
I  0.0000  0.5000  0.0000  2 Ta 2.91
I  0.5000  0.0000  0.0000  2 Ta 2.91

- mass density (g cm⁻³) = 6.94
- uncorrected formation energy (eV per atom) = 0.011
- space-group type = No. 123
- excess energy over the best structure of this formula in the dataset (eV per atom) = 0.000

---

Entry 10:
## LaYCl3 (PBE)

Data for crystalline LaYCl3 at its relaxed geometry.

abc: 5.6064 5.6064 5.6064
angles: 90.00 90.00 90.00
Last column: nearest neighbours and their distance in Å.
Element x y z (fractional)
La  0.0000  0.0000  0.0000  6 Cl 2.80
Y  0.5000  0.5000  0.5000  12 Cl 3.96
Cl  0.0000  0.0000  0.5000  2 La 2.80
Cl  0.0000  0.5000  0.0000  2 La 2.80
Cl  0.5000  0.0000  0.0000  2 La 2.80

- mass density (g cm⁻³) = 3.15
- uncorrected formation energy (eV per atom) = -1.101
- space-group type = No. 221
- excess energy over the best structure of this formula in the dataset (eV per atom) = 0.717

---

For each record above, in turn, the calculated total magnetization values are 0.00 0.93 26.42 0.00 5.22 0.92 4.97 0.00 1.85 2.38 Bohr magnetons per cell.